No. 1
Density functional theory data (PBE) for a relaxed Hf6InGa crystal.

a = 6.243 Å, b = 10.999 Å, c = 6.043 Å
α = 90.00°, β = 118.97°, γ = 90.00°
Space group C2/m (No. 12)
Symmetry-distinct sites (fractional):
1 Hf 0.004 0.225 0.246 (multiplicity 8)
2 Hf 0.017 0.500 0.759 (multiplicity 4)
3 In 0.000 0.000 0.500 (multiplicity 2)
4 Ga 0.000 0.000 0.000 (multiplicity 2)

DFT total energy in eV/cell: -126.4
Total magnetization in μB per cell: 0.00

***

No. 2
Density functional theory data (PBE) for a relaxed HfAlSb3 crystal.

a = 5.515 Å, b = 5.515 Å, c = 5.515 Å
α = 90.00°, β = 90.00°, γ = 90.00°
Space group Pm-3m (No. 221)
Symmetry-distinct sites (fractional):
1 Hf 0.000 0.000 0.000 (multiplicity 1)
2 Al 0.500 0.500 0.500 (multiplicity 1)
3 Sb 0.000 0.000 0.500 (multiplicity 3)

Energy relative to the elements, uncorrected in kJ per mole of atoms: 39.48
Total magnetization in μB per cell: 0.00

***

No. 3
Density functional theory data (PBE) for a relaxed MgIn2Mo2 crystal.

a = 7.662 Å, b = 7.662 Å, c = 3.482 Å
α = 90.00°, β = 90.00°, γ = 90.00°
Space group P4/mbm (No. 127)
Symmetry-distinct sites (fractional):
1 Mg 0.000 0.000 0.000 (multiplicity 2)
2 In 0.183 0.317 0.500 (multiplicity 4)
3 Mo 0.109 0.609 0.000 (multiplicity 4)

DFT total energy in eV/cell: -54.0
Total magnetization in μB per cell: 0.00

***

No. 4
Density functional theory data (PBE) for a relaxed HfCu2NiCl crystal.

a = 4.441 Å, b = 4.441 Å, c = 4.236 Å
α = 90.00°, β = 90.00°, γ = 90.00°
Space group P4/mmm (No. 123)
Symmetry-distinct sites (fractional):
1 Hf 0.000 0.000 0.000 (multiplicity 1)
2 Cu 0.000 0.500 0.500 (multiplicity 2)
3 Ni 0.500 0.500 0.000 (multiplicity 1)
4 Cl 0.500 0.500 0.500 (multiplicity 1)

Energy relative to the elements, uncorrected in kJ per mole of atoms: 76.07
Total magnetization in μB per cell: 0.00

***

No. 5
Density functional theory data (PBE) for a relaxed SnP crystal.

a = 7.550 Å, b = 7.550 Å, c = 7.550 Å
α = 90.00°, β = 90.00°, γ = 90.00°
Space group Pm-3n (No. 223)
Symmetry-distinct sites (fractional):
1 Sn 0.000 0.250 0.500 (multiplicity 6)
2 P 0.000 0.500 0.250 (multiplicity 6)

DFT total energy in eV/cell: -53.1
Total magnetization in μB per cell: 0.00

***

No. 6
Density functional theory data (PBE) for a relaxed MgCo3Ru crystal.

a = 4.477 Å, b = 4.477 Å, c = 4.477 Å
α = 90.00°, β = 90.00°, γ = 90.00°
Space group Pm-3m (No. 221)
Symmetry-distinct sites (fractional):
1 Mg 0.000 0.000 0.000 (multiplicity 1)
2 Co 0.000 0.500 0.500 (multiplicity 3)
3 Ru 0.500 0.500 0.500 (multiplicity 1)

DFT total energy in eV/cell: -26.5
Total magnetization in μB per cell: 4.58

***

No. 7
Density functional theory data (PBE) for a relaxed LaAsW2 crystal.

a = 3.377 Å, b = 5.010 Å, c = 9.100 Å
α = 90.00°, β = 90.00°, γ = 90.00°
Space group Cmmm (No. 65)
Symmetry-distinct sites (fractional):
1 La 0.000 0.000 0.000 (multiplicity 2)
2 As 0.000 0.000 0.500 (multiplicity 2)
3 W 0.000 0.500 0.291 (multiplicity 4)

DFT total energy in eV/cell: -65.7
Total magnetization in μB per cell: 0.00

***

No. 8
Density functional theory data (PBE) for a relaxed HfThSn crystal.

a = 5.1631 Å, b = 5.1631 Å, c = 3.4898 Å
α = 90.00°, β = 90.00°, γ = 120.00°
Space group P-6m2 (No. 187)
Symmetry-distinct sites (fractional):
1 Hf 0.0000 0.0000 0.0000 (multiplicity 1)
2 Th 0.6667 0.3333 0.5000 (multiplicity 1)
3 Sn 0.3333 0.6667 0.0000 (multiplicity 1)

DFT total energy in eV/cell: -21.6
Total magnetization in μB per cell: 0.00

***

No. 9
Density functional theory data (PBE) for a relaxed Y3Ho2Er crystal.

a = 17.376 Å, b = 7.089 Å, c = 6.135 Å
α = 90.00°, β = 90.01°, γ = 90.00°
Space group C2/c (No. 15)
Symmetry-distinct sites (fractional):
1 Y 0.000 0.125 0.250 (multiplicity 4)
2 Y 0.166 0.375 0.083 (multiplicity 8)
3 Ho 0.167 0.125 0.583 (multiplicity 8)
4 Er 0.000 0.375 0.750 (multiplicity 4)

DFT total energy in eV/cell: -131.8
Total magnetization in μB per cell: 0.00

***

No. 10
Density functional theory data (PBE) for a relaxed UTl4S5 crystal.

a = 9.877 Å, b = 9.877 Å, c = 5.802 Å
α = 90.00°, β = 90.00°, γ = 90.00°
Space group I4 (No. 79)
Symmetry-distinct sites (fractional):
1 U 0.000 0.000 0.000 (multiplicity 2)
2 Tl 0.089 0.314 0.503 (multiplicity 8)
3 S 0.000 0.000 0.506 (multiplicity 2)
4 S 0.106 0.231 0.002 (multiplicity 8)

Energy relative to the elements, uncorrected in kJ per mole of atoms: -67.16
Total magnetization in μB per cell: 0.00

***

No. 11
Density functional theory data (PBE) for a relaxed Tl2CuSiO4 crystal.

a = 5.161 Å, b = 11.322 Å, c = 20.015 Å
α = 90.00°, β = 90.00°, γ = 90.00°
Space group Fddd (No. 70, origin choice 2)
Symmetry-distinct sites (fractional):
1 Tl 0.125 0.125 0.304 (multiplicity 16)
2 Cu 0.125 0.125 0.125 (multiplicity 8)
3 Si 0.125 0.125 0.625 (multiplicity 8)
4 O 0.080 0.286 0.835 (multiplicity 32)

Energy relative to the elements, uncorrected in kJ per mole of atoms: -123.39
Total magnetization in μB per cell: 8.13

***

No. 12
Density functional theory data (PBE) for a relaxed Pm2GdAg crystal.

a = 7.729 Å, b = 7.729 Å, c = 7.729 Å
α = 90.00°, β = 90.00°, γ = 90.00°
Space group Fm-3m (No. 225)
Symmetry-distinct sites (fractional):
1 Pm 0.250 0.250 0.250 (multiplicity 8)
2 Gd 0.000 0.000 0.000 (multiplicity 4)
3 Ag 0.000 0.000 0.500 (multiplicity 4)

DFT total energy in eV/cell: -104.7
Total magnetization in μB per cell: 31.04